## YAl2Rh2 (PBE-GGA)

Data for a relaxed YAl2Rh2 crystal.

Properties
* symmetry: P4/mbm (127)
* spin magnetization: 0.04 μB/atom
* formation enthalpy at 0 K: -818 meV/atom

Cell lengths 7.5483, 7.5483, 2.9075 Å; angles 90.00, 90.00, 90.00 degrees
Last column: nearest neighbours and their distance in Å.
Element x y z (fractional)
Y: 0.0000 0.0000 0.0000  2 Y 2.91, 4 Al 3.00, 8 Rh 3.15
Y: 0.5000 0.5000 0.0000  2 Y 2.91, 4 Al 3.00, 8 Rh 3.15
Rh: 0.1728 0.6728 0.5000  6 Al 2.63-2.69, 2 Rh 2.91
Rh: 0.6728 0.8272 0.5000  6 Al 2.63-2.69, 2 Rh 2.91
Rh: 0.8272 0.3272 0.5000  6 Al 2.63-2.69, 2 Rh 2.91
Rh: 0.3272 0.1728 0.5000  6 Al 2.63-2.69, 2 Rh 2.91
Al: 0.3776 0.8776 0.0000  3 Al 2.61-2.91, 6 Rh 2.63-2.69
Al: 0.8776 0.6224 0.0000  3 Al 2.61-2.91, 6 Rh 2.63-2.69
Al: 0.6224 0.1224 0.0000  3 Al 2.61-2.91, 6 Rh 2.63-2.69
Al: 0.1224 0.3776 0.0000  3 Al 2.61-2.91, 6 Rh 2.63-2.69